(1)
Here is crystalline RbMnSi2Te8 at its relaxed geometry from Alexandria. Energies are from PBE-GGA. Values from VASP.

The formation energy from raw total energies is -0.115 eV/atom. Its total energy is -0.291 Ry/atom.

The structure in Quantum ESPRESSO input format:
```
&SYSTEM
  ibrav = 0, nat = 12, ntyp = 4
/
ATOMIC_SPECIES
Rb 85.47 Rb.upf
Mn 54.94 Mn.upf
Si 28.09 Si.upf
Te 127.60 Te.upf
ATOMIC_POSITIONS crystal
Rb 0.000 0.000 0.000
Mn 0.500 0.500 0.500
Si 0.250 0.250 0.250
Si 0.750 0.750 0.750
Te 0.131 0.792 0.425
Te 0.208 0.575 0.869
Te 0.343 0.343 0.343
Te 0.425 0.131 0.792
Te 0.575 0.869 0.208
Te 0.657 0.657 0.657
Te 0.792 0.425 0.131
Te 0.869 0.208 0.575
CELL_PARAMETERS angstrom
3.431 1.981 9.061
-3.431 1.981 9.061
0.000 -3.962 9.061
```


(2)
Here is crystalline HoAgPd at its relaxed geometry from Alexandria. Energies are from PBE-GGA. Values from VASP.

The value obtained for the energy relative to the elements is -0.501 eV/atom. Its total energy is -0.346 Ry/atom.

The structure in Quantum ESPRESSO input format:
```
&SYSTEM
  ibrav = 0, nat = 3, ntyp = 3
/
ATOMIC_SPECIES
Ho 164.93 Ho.upf
Ag 107.87 Ag.upf
Pd 106.42 Pd.upf
ATOMIC_POSITIONS crystal
Ho 0.000 0.000 0.000
Ag 0.667 0.333 0.500
Pd 0.333 0.667 0.500
CELL_PARAMETERS angstrom
4.645 0.000 0.000
-2.322 4.022 0.000
0.000 0.000 3.359
```